Entry 1:
AlCu2W: relaxed, PBE-GGA.

POSCAR file:
```
AlCu2W
1.0
2.7407 0.0000 0.0000
0.0000 4.5226 0.0000
0.0000 0.0000 8.8945
Al Cu W
2 4 2
Cartesian
0.0000 0.0000 0.0000
1.3703 2.2613 4.4472
0.0000 0.0000 4.1933
0.0000 2.2613 6.5503
1.3703 0.0000 2.1030
1.3703 2.2613 8.6405
0.0000 2.2613 2.0936
1.3703 0.0000 6.5409
```

SG: Imm2
Energy relative to the elements, eV/atom: 0.162

=====

Entry 2:
HfGaBr5: relaxed, PBE-GGA.

POSCAR file:
```
HfGaBr5
1.0
8.0305 -3.9687 0.0000
8.0305 3.9687 0.0000
-3.8113 0.0000 9.3395
Hf Ga Br
2 2 10
Cartesian
0.0000 0.0000 0.0000
-1.9057 0.0000 4.6698
5.1720 0.7747 7.0046
7.0777 -0.7747 2.3349
2.7765 2.2464 8.0616
4.2059 2.2417 4.5747
7.0777 2.9186 2.3349
9.9495 2.2417 0.0950
7.5675 2.2464 5.9477
4.6822 -2.2464 3.3918
2.3002 -2.2417 9.2445
5.1720 -2.9186 7.0046
8.0438 -2.2417 4.7648
9.4731 -2.2464 1.2780
```

SG: C2/c
Raw total energy, eV/atom: -4.18

=====

Entry 3:
TaCu4Si: relaxed, PBE-GGA.

POSCAR file:
```
TaCu4Si
1.0
0.0000 3.4136 3.4136
3.4136 0.0000 3.4136
3.4136 3.4136 0.0000
Ta Cu Si
1 4 1
Cartesian
0.0000 0.0000 0.0000
4.2685 2.5587 2.5587
2.5587 4.2685 2.5587
2.5587 2.5587 4.2685
4.2685 4.2685 4.2685
1.7068 1.7068 1.7068
```

SG: F-43m
Raw total energy, eV/atom: -5.38

=====

Entry 4:
NaInFeAg2: relaxed, PBE-GGA.

POSCAR file:
```
NaInFeAg2
1.0
5.1829 0.0000 0.0000
0.0000 5.1829 0.0000
0.0000 0.0000 5.4126
Na In Fe Ag
1 1 1 2
Cartesian
0.0000 0.0000 0.0000
0.0000 0.0000 2.7063
2.5915 2.5915 0.0000
0.0000 2.5915 2.7063
2.5915 0.0000 2.7063
```

SG: P4/mmm
Energy relative to the elements, eV/atom: 1.066

=====

The records above give, respectively, magnetic moment values of 0.00, 0.00, 0.00, 0.71 μB per atom.